No. 1
Here is a geometry-optimized LiTl2GaF6 structure from Alexandria via LeMat-Bulk. Energies are from GGA-PBEsol.

It has space group Fm-3m (No. 225), with a = 8.1713 Å, b = 8.1713 Å, c = 8.1713 Å, α = 90.00°, β = 90.00° and γ = 90.00°. The asymmetric unit holds Li at (0.0000, 0.0000, 0.0000), Tl at (0.2500, 0.2500, 0.2500), Ga at (0.0000, 0.0000, 0.5000) and F at (0.0000, 0.0000, 0.2643).

The value obtained for the density of states at the Fermi level is 0.00 states/eV per cell.



No. 2
Here is a geometry-optimized MnGaF3 structure from Alexandria via LeMat-Bulk. Energies are from GGA-PBEsol.

It has space group Pm-3m (No. 221), with a = 4.1524 Å, b = 4.1524 Å, c = 4.1524 Å, α = 90.00°, β = 90.00° and γ = 90.00°. The asymmetric unit holds Mn at (0.0000, 0.0000, 0.0000), Ga at (0.5000, 0.5000, 0.5000) and F at (0.0000, 0.5000, 0.5000).

The value obtained for the density of states at the Fermi level is 3.16 states/eV per cell.



No. 3
Here is a geometry-optimized MnGa2F structure from Alexandria via LeMat-Bulk. Energies are from GGA-PBEsol.

It has space group Fm-3m (No. 225), with a = 6.1420 Å, b = 6.1420 Å, c = 6.1420 Å, α = 90.00°, β = 90.00° and γ = 90.00°. The asymmetric unit holds Mn at (0.0000, 0.0000, 0.0000), Ga at (0.2500, 0.2500, 0.2500) and F at (0.0000, 0.0000, 0.5000).

The value obtained for the density of states at the Fermi level is 10.01 states/eV per cell.



No. 4
Here is a geometry-optimized GaMoF3 structure from Alexandria via LeMat-Bulk. Energies are from GGA-PBEsol.

It has space group Pm-3m (No. 221), with a = 4.1599 Å, b = 4.1599 Å, c = 4.1599 Å, α = 90.00°, β = 90.00° and γ = 90.00°. The asymmetric unit holds Ga at (0.0000, 0.0000, 0.0000), Mo at (0.5000, 0.5000, 0.5000) and F at (0.0000, 0.0000, 0.5000).

The value obtained for the density of states at the Fermi level is 0.72 states/eV per cell.



No. 5
Here is a geometry-optimized GaMoO2F structure from Alexandria via LeMat-Bulk. Energies are from GGA-PBEsol.

It has space group P4/mmm (No. 123), with a = 3.8668 Å, b = 3.8668 Å, c = 4.2418 Å, α = 90.00°, β = 90.00° and γ = 90.00°. The asymmetric unit holds Ga at (0.0000, 0.0000, 0.0000), Mo at (0.5000, 0.5000, 0.5000), O at (0.0000, 0.5000, 0.5000) and F at (0.5000, 0.5000, 0.0000).

The value obtained for the density of states at the Fermi level is 1.32 states/eV per cell.



No. 6
Here is a geometry-optimized GaSN2F structure from Alexandria via LeMat-Bulk. Energies are from GGA-PBEsol.

It has space group P4/mmm (No. 123), with a = 3.9245 Å, b = 3.9245 Å, c = 3.6704 Å, α = 90.00°, β = 90.00° and γ = 90.00°. The asymmetric unit holds Ga at (0.0000, 0.0000, 0.0000), S at (0.5000, 0.5000, 0.5000), N at (0.0000, 0.5000, 0.0000) and F at (0.0000, 0.0000, 0.5000).

The value obtained for the density of states at the Fermi level is 2.19 states/eV per cell.



No. 7
Here is a geometry-optimized GaS2NF structure from Alexandria via LeMat-Bulk. Energies are from GGA-PBEsol.

It has space group P4/mmm (No. 123), with a = 4.4311 Å, b = 4.4311 Å, c = 3.8241 Å, α = 90.00°, β = 90.00° and γ = 90.00°. The asymmetric unit holds Ga at (0.0000, 0.0000, 0.0000), S at (0.0000, 0.5000, 0.5000), N at (0.5000, 0.5000, 0.0000) and F at (0.5000, 0.5000, 0.5000).

The value obtained for the density of states at the Fermi level is 3.33 states/eV per cell.



No. 8
Here is a geometry-optimized GaSiN2F structure from Alexandria via LeMat-Bulk. Energies are from GGA-PBEsol.

It has space group P4/mmm (No. 123), with a = 3.6561 Å, b = 3.6561 Å, c = 3.5050 Å, α = 90.00°, β = 90.00° and γ = 90.00°. The asymmetric unit holds Ga at (0.0000, 0.0000, 0.0000), Si at (0.5000, 0.5000, 0.5000), N at (0.0000, 0.5000, 0.5000) and F at (0.5000, 0.5000, 0.0000).

The value obtained for the density of states at the Fermi level is 1.08 states/eV per cell.



Values for calculated density, g/cm3, ordered as above
7.30, 4.21, 6.12, 5.14, 5.67, 4.37, 3.69, 5.13
Values for E_tot, eV/atom, ordered as above
-4.60, -5.04, -4.81, -4.99, -7.05, -4.59, -3.22, -6.08
Values for energy relative to the elements, uncorrected, eV/f.u., ordered as above
-23.9, -6.3, -0.9, -4.1, -7.7, 3.8, 6.4, -2.3